First-principles (PBE-GGA) data for crystalline ZrPd3F6 at its relaxed geometry, as listed in Alexandria via LeMat-Bulk.

It has space group C2/m (No. 12), with a = 5.648 Å, b = 9.159 Å, c = 6.904 Å, α = 90.00°, β = 111.59° and γ = 90.00°. Symmetry generates all atoms from Zr at (0.000, 0.000, 0.000), Pd at (0.000, 0.000, 0.500), Pd at (0.250, 0.250, 0.500), F at (0.208, 0.160, 0.197) and F at (0.227, 0.000, 0.826).

As for the calculated total energy: -109.34 eV per cell. For the total magnetic moment, the calculation gives 2.9 μB/cell. The energy relative to the elements, uncorrected is -1931 meV/atom. Its crystal system is monoclinic.